<P>
Material: KZr2Ag
Method: DFT, PBE
State: optimized geometry

abc: 6.425 6.425 6.425
angles: 141.44 141.44 55.67
Positions (direct):
Ag (0.250, 0.750, 0.500)
K (0.750, 0.250, 0.500)
Zr (0.000, 0.000, 0.000)
Zr (0.500, 0.500, 0.000)

- Density: 5.35 g cm⁻³


<Q>
Material: KZr2Ag
Method: DFT, PBE
State: optimized geometry

abc: 5.081 5.081 5.081
angles: 60.00 60.00 60.00
Positions (direct):
K (0.000, 0.000, 0.000)
Zr (0.250, 0.250, 0.250)
Zr (0.750, 0.750, 0.750)
Ag (0.500, 0.500, 0.500)

- Density: 5.90 g cm⁻³


<R>
Material: KZr2Ag
Method: DFT, PBE
State: optimized geometry

abc: 5.521 5.521 7.311
angles: 81.98 81.98 32.20
Positions (direct):
Ag (0.522, 0.522, 0.444)
K (0.762, 0.762, 0.721)
Zr (0.973, 0.973, 0.116)
Zr (0.242, 0.242, 0.219)

- Density: 4.66 g cm⁻³


Winner for stability: <R>


<P>
Material: KZr2Ag
Method: DFT, PBE
State: optimized geometry

abc: 5.610 4.266 4.266
angles: 90.00 90.00 90.00
Positions (direct):
Ag (0.500, 0.500, 0.000)
K (0.500, 0.000, 0.500)
Zr (0.000, 0.000, 0.000)
Zr (0.000, 0.500, 0.500)

- Density: 5.36 g cm⁻³


<Q>
Material: KZr2Ag
Method: DFT, PBE
State: optimized geometry

abc: 5.864 3.016 5.703
angles: 87.79 90.00 90.00
Positions (direct):
Ag (0.500, 0.250, 0.250)
K (0.500, 0.750, 0.750)
Zr (0.000, 0.006, 0.033)
Zr (0.000, 0.494, 0.467)

- Density: 5.43 g cm⁻³


Winner for stability: <Q>


<P>
Material: KZr2Ag
Method: DFT, PBE
State: optimized geometry

abc: 3.056 3.056 11.881
angles: 90.00 90.00 113.44
Positions (direct):
Ag (0.500, 0.500, 0.250)
K (0.500, 0.500, 0.750)
Zr (0.000, 0.000, 0.044)
Zr (0.000, 0.000, 0.456)

- Density: 5.37 g cm⁻³


<Q>
Material: KZr2Ag
Method: DFT, PBE
State: optimized geometry

abc: 5.683 5.683 5.683
angles: 132.43 132.43 69.55
Positions (direct):
Ag (0.500, 0.500, 0.000)
K (0.750, 0.250, 0.500)
Zr (0.000, 0.000, 0.000)
Zr (0.250, 0.750, 0.500)

- Density: 5.58 g cm⁻³


Winner for stability: <P>


<P>
Material: La3Ag5
Method: DFT, PBE
State: optimized geometry

abc: 9.652 9.652 5.277
angles: 90.00 90.00 120.02
Positions (direct):
Ag (0.000, 0.177, 0.250)
Ag (0.000, 0.823, 0.750)
Ag (0.177, 0.000, 0.250)
Ag (0.177, 0.177, 0.750)
Ag (0.333, 0.667, 0.000)
Ag (0.333, 0.667, 0.500)
Ag (0.667, 0.333, 0.000)
Ag (0.667, 0.333, 0.500)
Ag (0.823, 0.000, 0.750)
Ag (0.823, 0.823, 0.250)
La (0.000, 0.375, 0.750)
La (0.000, 0.625, 0.250)
La (0.375, 0.000, 0.750)
La (0.375, 0.375, 0.250)
La (0.625, 0.000, 0.250)
La (0.625, 0.625, 0.750)

- Density: 7.46 g cm⁻³


<Q>
Material: La3Ag5
Method: DFT, PBE
State: optimized geometry

abc: 6.471 6.471 5.350
angles: 90.00 90.00 110.86
Positions (direct):
La (0.500, 0.500, 0.000)
La (0.788, 0.212, 0.500)
La (0.212, 0.788, 0.500)
Ag (0.000, 0.000, 0.000)
Ag (0.500, 0.000, 0.000)
Ag (0.000, 0.500, 0.000)
Ag (0.707, 0.707, 0.500)
Ag (0.293, 0.293, 0.500)

- Density: 7.58 g cm⁻³


Winner for stability: <Q>


<P>
Material: La3Ag5
Method: DFT, PBE
State: optimized geometry

abc: 6.255 7.981 9.643
angles: 82.70 71.08 66.93
Positions (direct):
La (0.922, 0.376, 0.663)
La (0.702, 0.376, 0.337)
La (0.835, 0.876, 0.837)
La (0.289, 0.876, 0.163)
La (0.554, 0.891, 0.500)
La (0.304, 0.391, 0.000)
Ag (0.428, 0.721, 0.830)
Ag (0.851, 0.721, 0.170)
Ag (0.508, 0.221, 0.670)
Ag (0.271, 0.221, 0.330)
Ag (0.739, 0.100, 0.117)
Ag (0.162, 0.100, 0.883)
Ag (0.106, 0.600, 0.383)
Ag (0.295, 0.600, 0.617)
Ag (0.001, 0.999, 0.500)
Ag (0.751, 0.499, 0.000)

- Density: 7.58 g cm⁻³


<Q>
Material: La3Ag5
Method: DFT, PBE
State: optimized geometry

abc: 8.907 8.908 8.323
angles: 94.69 94.69 139.84
Site moments in Bohr magnetons follow the coordinates.
Positions (direct):
Ag (0.203, 0.884, 0.876)  0.00
Ag (0.268, 0.099, 0.319)  0.00
Ag (0.286, 0.786, 0.580)  0.00
Ag (0.384, 0.703, 0.876)  0.00
Ag (0.401, 0.229, 0.677)  0.00
Ag (0.599, 0.768, 0.319)  0.00
Ag (0.620, 0.301, 0.128)  0.00
Ag (0.715, 0.215, 0.424)  0.00
Ag (0.729, 0.901, 0.677)  0.00
Ag (0.801, 0.120, 0.128)  0.00
La (0.164, 0.337, 0.501)  0.00
La (0.223, 0.273, 0.998)  0.14
La (0.203, 0.703, 0.199)  0.01
La (0.801, 0.301, 0.805)  0.01
La (0.773, 0.723, 0.998)  0.14
La (0.837, 0.664, 0.501)  0.00

- Density: 7.68 g cm⁻³


Winner for stability: <P>


<P>
Material: LaAg6
Method: DFT, PBE
State: optimized geometry

abc: 6.383 6.383 6.383
angles: 90.00 90.00 90.00
Site moments in Bohr magnetons follow the coordinates.
Positions (direct):
La (0.000, 0.000, 0.000)  -0.36
Ag (0.198, 0.500, 0.500)  0.00
Ag (0.500, 0.500, 0.802)  0.00
Ag (0.500, 0.500, 0.198)  0.00
Ag (0.500, 0.198, 0.500)  0.00
Ag (0.500, 0.802, 0.500)  0.00
Ag (0.802, 0.500, 0.500)  0.00

- Density: 5.02 g cm⁻³


<Q>
Material: LaAg6
Method: DFT, PBE
State: optimized geometry

abc: 5.778 8.984 11.352
angles: 90.00 90.00 90.00
Positions (direct):
La (0.750, 0.241, 0.934)
La (0.250, 0.759, 0.066)
La (0.750, 0.741, 0.566)
La (0.250, 0.259, 0.434)
Ag (0.750, 0.604, 0.019)
Ag (0.250, 0.396, 0.981)
Ag (0.750, 0.104, 0.481)
Ag (0.250, 0.896, 0.519)
Ag (0.009, 0.437, 0.192)
Ag (0.509, 0.563, 0.808)
Ag (0.491, 0.937, 0.308)
Ag (0.991, 0.063, 0.692)
Ag (0.991, 0.563, 0.808)
Ag (0.491, 0.437, 0.192)
Ag (0.509, 0.063, 0.692)
Ag (0.009, 0.937, 0.308)
Ag (0.250, 0.146, 0.148)
Ag (0.750, 0.854, 0.852)
Ag (0.250, 0.646, 0.352)
Ag (0.750, 0.354, 0.648)
Ag (0.250, 0.816, 0.764)
Ag (0.750, 0.184, 0.236)
Ag (0.250, 0.316, 0.736)
Ag (0.750, 0.684, 0.264)
Ag (0.250, 0.568, 0.589)
Ag (0.750, 0.432, 0.411)
Ag (0.250, 0.068, 0.911)
Ag (0.750, 0.932, 0.089)

- Density: 8.86 g cm⁻³


Winner for stability: <Q>